[1]
# PBE In12Sn3Se5, relaxed
# D(E_F), states/eV/f.u.: 6.913
# Crystal system: cubic
# Formation energy without anion corrections, kJ/mol of formula units: -199
# Total magnetization, μB per formula unit: 0.00
data_In12Sn3Se5
_space_group_name_H-M_alt 'I a -3 d'
_space_group_IT_number 230
_space_group_name_Hall '-I 4bd 2c 3'
_cell_length_a 17.499
_cell_length_b 17.499
_cell_length_c 17.499
_cell_angle_alpha 90.00
_cell_angle_beta 90.00
_cell_angle_gamma 90.00
loop_
_atom_site_label
_atom_site_type_symbol
_atom_site_fract_x
_atom_site_fract_y
_atom_site_fract_z
In1 In 0.015 0.070 0.655
Sn1 Sn 0.000 0.250 0.125
Se1 Se 0.000 0.000 0.000
Se2 Se 0.000 0.250 0.375



[2]
# PBE InSn4Se5, relaxed
# D(E_F), states/eV/f.u.: 1.182
# Crystal system: orthorhombic
# Formation energy without anion corrections, kJ/mol of formula units: -414
# Total magnetization, μB per formula unit: 0.00
data_InSn4Se5
_space_group_name_H-M_alt 'I m m m'
_space_group_IT_number 71
_space_group_name_Hall '-I 2 2'
_cell_length_a 4.281
_cell_length_b 6.007
_cell_length_c 21.329
_cell_angle_alpha 90.00
_cell_angle_beta 90.00
_cell_angle_gamma 90.00
loop_
_atom_site_label
_atom_site_type_symbol
_atom_site_fract_x
_atom_site_fract_y
_atom_site_fract_z
In1 In 0.000 0.000 0.000
Sn1 Sn 0.000 0.000 0.198
Sn2 Sn 0.000 0.000 0.400
Se1 Se 0.000 0.500 0.000
Se2 Se 0.000 0.500 0.200
Se3 Se 0.000 0.500 0.400